Entry 1:
Below is crystalline InAs2 at its relaxed geometry, with properties calculated at the PBE level.

Cell: 4.9958 4.9958 3.0282 Å, 90.00 90.00 120.00°
Space group P6/mmm (No. 191)
Symmetry-distinct sites (fractional):
In: 0.0000 0.0000 0.0000
As: 0.3333 0.6667 0.5000

## Properties
E_form   220 meV/atom
Size of the total moment   0.00 μB per atom

Entry 2:
Below is crystalline InAs3 at its relaxed geometry, with properties calculated at the PBE level.

Cell: 3.9853 3.9853 10.9311 Å, 90.00 90.00 90.00°
Space group I4/mmm (No. 139)
Symmetry-distinct sites (fractional):
In: 0.0000 0.0000 0.0000
As: 0.0000 0.0000 0.5000
As: 0.0000 0.5000 0.2500

## Properties
E_form   329 meV/atom
Size of the total moment   0.00 μB per atom

Entry 3:
Below is crystalline In4As at its relaxed geometry, with properties calculated at the PBE level.

Cell: 4.0628 4.0628 16.9348 Å, 90.00 90.00 90.00°
Space group I4/mmm (No. 139)
Symmetry-distinct sites (fractional):
In: 0.0000 0.0000 0.0879
In: 0.0000 0.5000 0.2500
As: 0.0000 0.0000 0.5000

## Properties
E_form   212 meV/atom
Size of the total moment   0.00 μB per atom

Entry 4:
Below is crystalline In2As at its relaxed geometry, with properties calculated at the PBE level.

Cell: 6.9453 6.9453 6.9453 Å, 90.00 90.00 90.00°
Space group Pa-3 (No. 205)
Symmetry-distinct sites (fractional):
In: 0.1215 0.1215 0.1215
As: 0.0000 0.0000 0.5000

## Properties
E_form   12 meV/atom
Size of the total moment   0.00 μB per atom

Entry 5:
Below is crystalline InAs3 at its relaxed geometry, with properties calculated at the PBE level.

Cell: 4.7947 4.7947 3.6354 Å, 90.00 90.00 90.00°
Space group P4/mmm (No. 123)
Symmetry-distinct sites (fractional):
In: 0.0000 0.0000 0.0000
As: 0.0000 0.5000 0.5000
As: 0.5000 0.5000 0.0000

## Properties
E_form   338 meV/atom
Size of the total moment   0.00 μB per atom

Entry 6:
Below is crystalline InAs at its relaxed geometry, with properties calculated at the PBE level.

Cell: 7.1772 7.1772 7.1772 Å, 90.00 90.00 90.00°
Space group Fd-3m (No. 227, origin choice 2)
Symmetry-distinct sites (fractional):
In: 0.1250 0.1250 0.1250
As: 0.1250 0.1250 0.6250

## Properties
E_form   230 meV/atom
Size of the total moment   0.00 μB per atom

What is the E_form in the fifth record?
338 meV/atom

The highest E_form belongs to which entry?
number 5